The following is a GGA-PBE calculation of an optimized crystal structure of Cd6In2Hg5, from Alexandria via LeMat-Bulk.

a = 3.399 Å, b = 10.487 Å, c = 18.212 Å
α = 90.00°, β = 90.00°, γ = 90.00°
Atoms (fractional coordinates):
Cd1 0.000 0.037 0.363
Cd2 0.000 0.963 0.637
Cd3 0.000 0.537 0.137
Cd4 0.000 0.463 0.863
Cd5 0.500 0.291 0.120
Cd6 0.500 0.709 0.880
Cd7 0.500 0.791 0.380
Cd8 0.500 0.209 0.620
Cd9 0.000 0.556 0.427
Cd10 0.000 0.444 0.573
Cd11 0.000 0.056 0.073
Cd12 0.000 0.944 0.927
In1 0.000 0.300 0.286
In2 0.000 0.700 0.714
In3 0.000 0.800 0.214
In4 0.000 0.200 0.786
Hg1 0.500 0.288 0.444
Hg2 0.500 0.712 0.556
Hg3 0.500 0.788 0.056
Hg4 0.500 0.212 0.944
Hg5 0.500 0.553 0.281
Hg6 0.500 0.447 0.719
Hg7 0.500 0.053 0.219
Hg8 0.500 0.947 0.781
Hg9 0.500 0.500 0.000
Hg10 0.500 0.000 0.500

Calculated values
For the formation enthalpy at 0 K, the calculation gives 31 meV per atom. As for the electronic total energy: -24.14 eV per cell.

The following is a GGA-PBE calculation of an optimized crystal structure of CsSe2F7, from Alexandria via LeMat-Bulk.

a = 4.164 Å, b = 6.735 Å, c = 7.643 Å
α = 116.14°, β = 90.00°, γ = 90.00°
Atoms (fractional coordinates):
Cs1 0.000 0.000 0.000
Se1 0.500 0.656 0.312
Se2 0.500 0.344 0.688
F1 0.000 0.652 0.304
F2 0.000 0.348 0.696
F3 0.500 0.638 0.713
F4 0.500 0.362 0.287
F5 0.500 0.925 0.287
F6 0.500 0.075 0.713
F7 0.500 0.500 0.000

Calculated values
For the formation energy without anion corrections, the calculation gives -1704.0 meV per atom. As for the electronic total energy: -37.96 eV per cell.

Number 1: magnetization 0.00 μB per atom, N(E_F) 8.36 states/eV per cell. Number 2: magnetization 0.00 μB per atom, N(E_F) 3.44 states/eV per cell.